Record 1
VASP calculation (PBE-GGA) on an optimized crystal structure of CuSe2I.

a = 7.528 Å, b = 7.528 Å, c = 7.528 Å
α = 29.48°, β = 29.48°, γ = 29.48°
Element x y z (fractional)
Cu1 0.000 0.000 0.000
Se1 0.277 0.277 0.277
Se2 0.723 0.723 0.723
I1 0.500 0.500 0.500

M_tot: 0.00 μB per cell
density of states at the Fermi level: 2.4 states/eV per cell
symmetry: R-3m (166)
calculated volume: 22.86 Å³/atom
total energy: -3.041 eV/atom
formation energy from raw total energies: 0.113 eV/atom

=====

Record 2
VASP calculation (PBE-GGA) on an optimized crystal structure of Nb4Ru4Rh.

a = 6.338 Å, b = 6.338 Å, c = 6.338 Å
α = 95.57°, β = 95.57°, γ = 143.69°
Element x y z (fractional)
Nb1 0.000 0.311 0.311
Nb2 0.000 0.689 0.689
Nb3 0.311 0.000 0.311
Nb4 0.689 0.000 0.689
Ru1 0.335 0.335 0.671
Ru2 0.335 0.665 0.000
Ru3 0.665 0.335 0.000
Ru4 0.665 0.665 0.329
Rh1 0.000 0.000 0.000

M_tot: 0.00 μB per cell
formation enthalpy at 0 K: -0.239 eV/atom
density of states at the Fermi level: 7.0 states/eV per cell
symmetry: I4/mmm (139)
calculated volume: 15.92 Å³/atom
total energy: -9.654 eV/atom